The following is a DFT calculation (PBE-GGA) of SrAlRe2 after structural relaxation.

Cell: 3.274 4.663 4.805 Å, 90.00 90.00 90.00°
Positions (direct):
Re  0.000  0.000  0.000
Re  0.500  0.500  0.000
Sr  0.500  0.000  0.500
Al  0.000  0.500  0.500

* VASP energy: -26.49 eV/cell
* M_tot: 0.000 μB per atom
* DOS(E_F): 2.90 states/eV per cell
* E_form: 0.96 eV/atom
* density: 11.02 Mg/m³
* SG: Pmmm, No. 47